Model a:
# CoW2Br | Alexandria | GGA-PBEsol | relaxed
# DOS at the Fermi energy: 0.93 states/eV per atom
data_CoW2Br
_chemical_formula_sum 'Co1 W2 Br1'
_space_group_name_H-M_alt 'P 1 m 1'
_space_group_IT_number 6
_cell_length_a 3.164
_cell_length_b 3.071
_cell_length_c 6.938
_cell_angle_alpha 90.00
_cell_angle_beta 91.65
_cell_angle_gamma 90.00
loop_
_space_group_symop_operation_xyz
'x,y,z'
'x,-y,z'
loop_
_atom_site_label
_atom_site_fract_x
_atom_site_fract_y
_atom_site_fract_z
Co1 0.000 0.000 0.000
W1 0.004 0.000 0.613
W2 0.490 0.500 0.833
Br1 0.958 0.500 0.304



Model b:
# CoW2Br | Alexandria | GGA-PBEsol | relaxed
# DOS at the Fermi energy: 0.94 states/eV per atom
data_CoW2Br
_chemical_formula_sum 'Co1 W2 Br1'
_space_group_name_H-M_alt 'P 4/m m m'
_space_group_IT_number 123
_space_group_name_Hall '-P 4 2'
_cell_length_a 2.938
_cell_length_b 2.938
_cell_length_c 6.681
_cell_angle_alpha 90.00
_cell_angle_beta 90.00
_cell_angle_gamma 90.00
loop_
_atom_site_label
_atom_site_fract_x
_atom_site_fract_y
_atom_site_fract_z
Co1 0.000 0.000 0.000
W1 0.500 0.500 0.227
Br1 0.000 0.000 0.500



Quick one: most stable of them? model a